Entry 1:
PBE Hf2ZnIn3, relaxed; SG = C2/c, No. 15; ΔE_f = -0.039 eV per atom; crystal system = monoclinic
1.0
6.0799 0.0000 0.0000
0.0000 5.6280 0.3938
-3.0400 -0.8967 7.4981
Hf Zn In
4 2 6
Cartesian
3.7726 3.0902 2.7766
2.3073 0.2762 2.5797
0.7326 4.4551 5.3122
-0.7326 1.6411 5.1153
5.2728 4.2210 0.2953
0.8071 1.4070 0.0984
3.7445 1.4070 0.0984
2.3355 4.2210 0.2953
-0.7359 0.2118 2.4619
2.3041 1.7055 5.2331
0.7359 3.0258 2.6588
3.7758 4.5195 5.4300

Entry 2:
PBE Rb2TlMoCl6, relaxed; offset from the most stable computed form = 10 meV per atom; formation energy from raw total energies = -13.32 eV per formula unit; SG = Fm-3m, No. 225; crystal system = cubic
1.0
-7.6655 -0.1863 -1.2735
-1.1308 -2.6982 7.2013
-4.8328 3.7101 4.8261
Tl Mo Rb Cl
1 1 2 6
Cartesian
0.0000 0.0000 0.0000
-4.3982 -1.4422 2.9639
-8.4482 1.0408 3.2582
-5.1809 -0.2151 7.4956
-4.5927 0.8637 3.7973
-9.0364 -0.0381 6.9565
-2.4299 -0.7968 1.6375
-6.3664 -2.0876 4.2902
-5.8603 -0.8802 1.0676
-2.9360 -2.0043 4.8601